No. 1
Density functional theory data (meta-GGA SCAN) for a PBEsol-optimized structure of HfFe3Pt.

Computed properties:
* theoretical density: 10.7 Mg/m³
* total DFT energy (no corrections): -2.6378 Ry per atom
* DOS at the Fermi energy: 4.036 states/eV/cell

Lattice parameters (Å, degrees): 4.379 4.379 4.379 90.00 90.00 90.00
Site moments in Bohr magnetons follow the coordinates.
Fractional coordinates of all 5 atoms:
Pt1 0.500 0.500 0.500  0.11
Fe1 0.000 0.500 0.000  2.42
Fe2 0.500 0.000 0.000  2.42
Fe3 0.000 0.000 0.500  2.42
Hf1 0.000 0.000 0.000  -0.78

***

No. 2
Density functional theory data (meta-GGA SCAN) for a PBEsol-optimized structure of TlNi2Rh.

Computed properties:
* theoretical density: 12.8 Mg/m³
* total DFT energy (no corrections): -2.5259 Ry per atom
* DOS at the Fermi energy: 2.921 states/eV/cell
* energy above the most stable polymorph in this dataset: 0.000 eV/atom

Lattice parameters (Å, degrees): 3.908 3.910 4.536 115.53 115.52 90.00
Site moments in Bohr magnetons follow the coordinates.
Fractional coordinates of all 4 atoms:
Ni1 0.750 0.750 0.500  0.64
Ni2 0.250 0.250 0.500  0.64
Rh1 0.500 0.000 0.000  0.46
Tl1 0.000 0.500 0.000  -0.03

***

No. 3
Density functional theory data (meta-GGA SCAN) for a PBEsol-optimized structure of LiCd.

Computed properties:
* theoretical density: 5.6 Mg/m³
* total DFT energy (no corrections): -1.2279 Ry per atom
* DOS at the Fermi energy: 1.069 states/eV/cell

Lattice parameters (Å, degrees): 4.182 4.184 5.036 114.54 114.53 90.00
Fractional coordinates of all 4 atoms:
Cd1 0.625 0.875 0.250
Cd2 0.375 0.125 0.750
Li1 0.875 0.625 0.750
Li2 0.125 0.375 0.250

***

No. 4
Density functional theory data (meta-GGA SCAN) for a PBEsol-optimized structure of CeIn3Cu4Se8.

Computed properties:
* theoretical density: 5.7 Mg/m³
* total DFT energy (no corrections): -1.7281 Ry per atom
* DOS at the Fermi energy: 3.637 states/eV/cell

Lattice parameters (Å, degrees): 5.793 5.793 11.842 90.00 90.00 90.00
Site moments in Bohr magnetons follow the coordinates.
Fractional coordinates of all 16 atoms:
Cu1 0.500 0.500 0.500  0.00
Cu2 0.500 0.000 0.756  0.00
Cu3 0.000 0.500 0.244  0.00
Cu4 0.000 0.000 0.000  0.00
Se1 0.735 0.296 0.364  -0.01
Se2 0.214 0.249 0.121  0.00
Se3 0.751 0.214 0.879  0.00
Se4 0.249 0.786 0.879  0.00
Se5 0.704 0.735 0.636  -0.01
Se6 0.786 0.751 0.121  0.00
Se7 0.296 0.265 0.636  -0.01
Se8 0.265 0.704 0.364  -0.01
Ce1 0.000 0.000 0.500  0.93
In1 0.500 0.500 0.000  0.00
In2 0.500 0.000 0.242  0.00
In3 0.000 0.500 0.758  0.00

***

No. 5
Density functional theory data (meta-GGA SCAN) for a PBEsol-optimized structure of CaGeBiCl2.

Computed properties:
* theoretical density: 4.0 Mg/m³
* total DFT energy (no corrections): -1.8612 Ry per atom
* DOS at the Fermi energy: 2.411 states/eV/cell

Lattice parameters (Å, degrees): 4.933 4.933 6.656 90.00 90.00 90.00
Site moments in Bohr magnetons follow the coordinates.
Fractional coordinates of all 5 atoms:
Ca1 0.000 0.000 0.000  0.01
Bi1 0.000 0.000 0.500  0.25
Cl1 0.500 0.000 0.000  0.02
Cl2 0.000 0.500 0.000  0.02
Ge1 0.500 0.500 0.500  -0.04

***

No. 6
Density functional theory data (meta-GGA SCAN) for a PBEsol-optimized structure of LiPPb2.

Computed properties:
* theoretical density: 8.0 Mg/m³
* total DFT energy (no corrections): -3.0231 Ry per atom
* DOS at the Fermi energy: 1.296 states/eV/cell

Lattice parameters (Å, degrees): 3.747 4.995 5.896 115.06 108.53 90.00
Fractional coordinates of all 4 atoms:
Li1 0.441 0.441 0.882
Pb1 0.046 0.046 0.092
Pb2 0.251 0.751 0.502
P1 0.762 0.262 0.524